# BSe2O6 | Alexandria via LeMat-Bulk | PBE | relaxed
data_BSe2O6
_space_group_name_H-M_alt 'I m m m'
_space_group_IT_number 71
_space_group_name_Hall '-I 2 2'
_cell_length_a 3.184
_cell_length_b 8.915
_cell_length_c 10.082
_cell_angle_alpha 90.00
_cell_angle_beta 90.00
_cell_angle_gamma 90.00
loop_
_atom_site_label
_atom_site_type_symbol
_atom_site_fract_x
_atom_site_fract_y
_atom_site_fract_z
B1 B 0.000 0.000 0.000
Se1 Se 0.000 0.000 0.360
O1 O 0.000 0.088 0.122
O2 O 0.000 0.137 0.500
# DFT total energy: -5.0290 eV/atom
# Size of the total moment: 0.0 μB/f.u.
# ΔE_f (raw): -207 meV/atom